# In2SnCl2F2 PBE-GGA optimized geometry
# * crystal system: monoclinic
# * ΔE_f (raw): -1395 meV per atom
# * N(E_F): 0.00 states/eV per cell
# * total energy: -53.36 eV for the cell shown
# * total magnetic moment: 0.0 μB per cell
data_In2SnCl2F2
_space_group_name_H-M_alt 'C 1 2/m 1'
_space_group_IT_number 12
_space_group_name_Hall '-C 2y'
_cell_length_a 13.563
_cell_length_b 4.179
_cell_length_c 8.066
_cell_angle_alpha 90.00
_cell_angle_beta 125.17
_cell_angle_gamma 90.00
loop_
_atom_site_label
_atom_site_fract_x
_atom_site_fract_y
_atom_site_fract_z
In1 0.170 0.000 0.229
Sn1 0.000 0.000 0.500
Cl1 0.068 0.500 0.794
F1 0.198 0.000 0.572

---

# AgRhAu2 PBE-GGA optimized geometry
# * energy of formation from the pure elements: 0.16 eV per atom
# * crystal system: orthorhombic
# * N(E_F): 7.26 states/eV per cell
# * total energy: -32.23 eV for the cell shown
# * ΔE to the lowest computed polymorph: 79.7 meV per atom
# * total magnetic moment: 0.9 μB per cell
data_AgRhAu2
_space_group_name_H-M_alt 'C m m 2'
_space_group_IT_number 35
_space_group_name_Hall 'C 2 -2'
_cell_length_a 2.878
_cell_length_b 4.842
_cell_length_c 9.873
_cell_angle_alpha 90.00
_cell_angle_beta 90.00
_cell_angle_gamma 90.00
loop_
_atom_site_label
_atom_site_fract_x
_atom_site_fract_y
_atom_site_fract_z
Ag1 0.000 0.000 0.000
Rh1 0.000 0.500 0.759
Au1 0.000 0.000 0.517
Au2 0.000 0.500 0.255

---

# Mg2Tl3Cd2 PBE-GGA optimized geometry
# * energy of formation from the pure elements: 0.02 eV per atom
# * crystal system: orthorhombic
# * N(E_F): 3.86 states/eV per cell
# * total energy: -23.92 eV for the cell shown
# * total magnetic moment: 0.0 μB per cell
data_Mg2Tl3Cd2
_space_group_name_H-M_alt 'C m m m'
_space_group_IT_number 65
_space_group_name_Hall '-C 2 2'
_cell_length_a 4.122
_cell_length_b 24.775
_cell_length_c 3.565
_cell_angle_alpha 90.00
_cell_angle_beta 90.00
_cell_angle_gamma 90.00
loop_
_atom_site_label
_atom_site_fract_x
_atom_site_fract_y
_atom_site_fract_z
Mg1 0.000 0.069 0.000
Tl1 0.000 0.360 0.500
Tl2 0.000 0.500 0.500
Cd1 0.000 0.208 0.000

---

# CrHgBiC2 PBE-GGA optimized geometry
# * energy of formation from the pure elements: 3.00 eV per atom
# * crystal system: tetragonal
# * N(E_F): 5.88 states/eV per cell
# * total energy: -17.27 eV for the cell shown
# * ΔE to the lowest computed polymorph: 1605.3 meV per atom
# * total magnetic moment: 1.2 μB per cell
data_CrHgBiC2
_space_group_name_H-M_alt 'P 4/m m m'
_space_group_IT_number 123
_space_group_name_Hall '-P 4 2'
_cell_length_a 4.187
_cell_length_b 4.187
_cell_length_c 6.052
_cell_angle_alpha 90.00
_cell_angle_beta 90.00
_cell_angle_gamma 90.00
loop_
_atom_site_label
_atom_site_fract_x
_atom_site_fract_y
_atom_site_fract_z
Cr1 0.000 0.000 0.000
Hg1 0.500 0.500 0.500
Bi1 0.500 0.500 0.000
C1 0.000 0.500 0.500

---

# PuMnVNi PBE-GGA optimized geometry
# * energy of formation from the pure elements: 0.19 eV per atom
# * crystal system: cubic
# * N(E_F): 49.16 states/eV per cell
# * total energy: -150.63 eV for the cell shown
# * total magnetic moment: 26.5 μB per cell
data_PuMnVNi
_space_group_name_H-M_alt 'F -4 3 m'
_space_group_IT_number 216
_space_group_name_Hall 'F -4 2 3'
_cell_length_a 6.255
_cell_length_b 6.255
_cell_length_c 6.255
_cell_angle_alpha 90.00
_cell_angle_beta 90.00
_cell_angle_gamma 90.00
loop_
_atom_site_label
_atom_site_fract_x
_atom_site_fract_y
_atom_site_fract_z
Pu1 0.000 0.000 0.000
Mn1 0.000 0.000 0.500
V1 0.250 0.250 0.250
Ni1 0.250 0.250 0.750

---

# BeIn2Br PBE-GGA optimized geometry
# * crystal system: orthorhombic
# * ΔE_f (raw): 175 meV per atom
# * N(E_F): 1.11 states/eV per cell
# * total energy: -10.18 eV for the cell shown
# * ΔE to the lowest computed polymorph: 173.7 meV per atom
# * total magnetic moment: 0.0 μB per cell
data_BeIn2Br
_space_group_name_H-M_alt 'P m m 2'
_space_group_IT_number 25
_space_group_name_Hall 'P 2 -2'
_cell_length_a 3.554
_cell_length_b 3.978
_cell_length_c 7.464
_cell_angle_alpha 90.00
_cell_angle_beta 90.00
_cell_angle_gamma 90.00
loop_
_atom_site_label
_atom_site_fract_x
_atom_site_fract_y
_atom_site_fract_z
Be1 0.000 0.000 0.000
In1 0.000 0.000 0.340
In2 0.500 0.500 0.978
Br1 0.500 0.500 0.558

---

# LiScH2 PBE-GGA optimized geometry
# * crystal system: cubic
# * N(E_F): 11.58 states/eV per cell
# * total energy: -61.28 eV for the cell shown
# * ΔE to the lowest computed polymorph: 220.1 meV per atom
# * total magnetic moment: 0.0 μB per cell
data_LiScH2
_space_group_name_H-M_alt 'F m -3 m'
_space_group_IT_number 225
_space_group_name_Hall '-F 4 2 3'
_cell_length_a 5.330
_cell_length_b 5.330
_cell_length_c 5.330
_cell_angle_alpha 90.00
_cell_angle_beta 90.00
_cell_angle_gamma 90.00
loop_
_atom_site_label
_atom_site_fract_x
_atom_site_fract_y
_atom_site_fract_z
Li1 0.000 0.000 0.000
Sc1 0.000 0.000 0.500
H1 0.250 0.250 0.250

---

# AsP2Ir PBE-GGA optimized geometry
# * energy of formation from the pure elements: 0.07 eV per atom
# * crystal system: trigonal
# * N(E_F): 3.09 states/eV per cell
# * total energy: -72.15 eV for the cell shown
# * total magnetic moment: 0.0 μB per cell
data_AsP2Ir
_space_group_name_H-M_alt 'R 3 m'
_space_group_IT_number 160
_space_group_name_Hall 'R 3 -2"'
_cell_length_a 3.4108
_cell_length_b 3.4108
_cell_length_c 19.6538
_cell_angle_alpha 90.00
_cell_angle_beta 90.00
_cell_angle_gamma 120.00
loop_
_atom_site_label
_atom_site_fract_x
_atom_site_fract_y
_atom_site_fract_z
As1 0.0000 0.0000 0.0000
P1 0.0000 0.0000 0.2285
P2 0.0000 0.0000 0.4986
Ir1 0.0000 0.0000 0.7380